[1]
NaHf2InW (PBE-GGA, relaxed); energy of formation = 1820 meV/atom; DFT total energy = -5.56 eV/atom; crystal system = tetragonal
1.0
4.912 0.000 0.000
0.000 4.912 0.000
0.000 0.000 4.602
Na Hf In W
1 2 1 1
Cartesian
0.000 0.000 0.000
0.000 2.456 0.000
2.456 0.000 0.000
2.456 2.456 2.301
0.000 0.000 2.301


[2]
HfNb2In2 (PBE-GGA, relaxed); energy of formation = 215 meV/atom; energy relative to the lowest polymorph listed for this composition = 236 meV per atom; DFT total energy = -6.90 eV/atom; crystal system = tetragonal
1.0
8.385 0.000 0.000
0.000 8.385 0.000
0.000 0.000 3.011
Hf Nb In
2 4 4
Cartesian
0.000 0.000 0.000
4.193 4.193 0.000
0.948 3.244 0.000
3.244 7.437 0.000
5.141 0.948 0.000
7.437 5.141 0.000
1.528 5.721 1.506
2.664 1.528 1.506
5.721 6.857 1.506
6.857 2.664 1.506


[3]
HfNbIn (PBE-GGA, relaxed); energy of formation = -3 meV/atom; energy relative to the lowest polymorph listed for this composition = 30 meV per atom; DFT total energy = -7.59 eV/atom; crystal system = tetragonal
1.0
4.039 0.000 0.000
0.000 4.039 0.000
0.000 0.000 7.794
Hf Nb In
2 2 2
Cartesian
1.010 1.010 1.181
3.029 3.029 6.614
1.010 3.029 3.897
3.029 1.010 3.897
1.010 1.010 6.035
3.029 3.029 1.759


Number 1: V 22.2 Å³ per atom. Number 2: V 21.2 Å³ per atom. Number 3: V 21.2 Å³ per atom.